# LiAc2Cu12Ni3 | Alexandria via LeMat-Bulk | PBE | optimized geometry
data_LiAc2Cu12Ni3
_symmetry_space_group_name_H-M 'P 1'
_symmetry_Int_Tables_number 1
_symmetry_space_group_name_Hall 'P 1'
_cell_length_a 7.702
_cell_length_b 7.702
_cell_length_c 7.702
_cell_angle_alpha 61.68
_cell_angle_beta 61.68
_cell_angle_gamma 61.68
loop_
_atom_site_label
_atom_site_type_symbol
_atom_site_fract_x
_atom_site_fract_y
_atom_site_fract_z
Li1 Li 0.000 0.000 0.000
Ac1 Ac 0.389 0.389 0.389
Ac2 Ac 0.611 0.611 0.611
Cu1 Cu 0.012 0.341 0.341
Cu2 Cu 0.115 0.115 0.653
Cu3 Cu 0.115 0.653 0.115
Cu4 Cu 0.341 0.012 0.341
Cu5 Cu 0.341 0.341 0.012
Cu6 Cu 0.347 0.885 0.885
Cu7 Cu 0.653 0.115 0.115
Cu8 Cu 0.659 0.659 0.988
Cu9 Cu 0.659 0.988 0.659
Cu10 Cu 0.885 0.347 0.885
Cu11 Cu 0.885 0.885 0.347
Cu12 Cu 0.988 0.659 0.659
Ni1 Ni 0.000 0.000 0.500
Ni2 Ni 0.000 0.500 0.000
Ni3 Ni 0.500 0.000 0.000
# Calculated total energy, eV for the cell shown: -70.0
# D(E_F), states/eV per cell: 9.91
# Total magnetization, μB/cell: 0.00
# Mass density, g cm⁻³: 6.93
# Symmetry: No. 166
# Calculated formation energy, meV per atom: 367